## Rb2MnSiO4 (GGA+U)

Data for Rb2MnSiO4 after structural relaxation.

```
16
Lattice="5.202 0.000 0.000 2.601 5.961 0.000 2.601 0.000 10.626" Properties=species:S:1:pos:R:3 pbc="T T T"
O 3.625 0.963 0.897
Si 3.902 2.980 5.313
Rb 2.601 0.000 6.887
O 4.179 4.998 0.897
O 4.926 3.943 4.416
O 4.926 2.017 6.210
O 8.080 3.943 6.210
Si 2.601 0.000 0.000
Mn 6.503 2.980 5.313
Rb 6.503 2.980 1.574
O 2.878 2.017 4.416
O 4.179 0.963 9.729
Rb 6.503 2.980 9.052
Mn 0.000 0.000 0.000
Rb 5.203 0.000 3.739
O 8.828 4.998 9.729
```

Results
The value obtained for the density of states at the Fermi level is 0.0 states/eV per cell. The total energy comes out at -6.3247 eV per atom. The space group is No. 70. As for the crystal system: orthorhombic.